# NaCa2LaAu4 | Alexandria | GGA-PBE | optimized geometry
# **Electronic total energy**: -3.610 eV per atom
# **ΔE_f**: -0.69 eV per atom
data_NaCa2LaAu4
_cell_length_a 5.1934
_cell_length_b 5.1934
_cell_length_c 25.3956
_cell_angle_alpha 90.00
_cell_angle_beta 90.00
_cell_angle_gamma 120.00
_symmetry_space_group_name_H-M 'R -3 m'
_symmetry_Int_Tables_number 166
_symmetry_space_group_name_Hall '-R 3 2"'
loop_
_atom_site_label
_atom_site_type_symbol
_atom_site_fract_x
_atom_site_fract_y
_atom_site_fract_z
Na1 Na 0.0000 0.0000 0.0000
Ca1 Ca 0.0000 0.0000 0.2570
La1 La 0.0000 0.0000 0.5000
Au1 Au 0.0000 0.0000 0.1299
Au2 Au 0.0000 0.0000 0.3787

=====

# Nb2IrPt2 | Alexandria | GGA-PBE | optimized geometry
# **Energy above the most stable polymorph in this dataset**: 480.7 meV/atom
# **Electronic total energy**: -8.245 eV per atom
# **ΔE_f**: -0.03 eV per atom
data_Nb2IrPt2
_cell_length_a 4.668
_cell_length_b 7.508
_cell_length_c 5.251
_cell_angle_alpha 90.00
_cell_angle_beta 90.00
_cell_angle_gamma 90.00
_symmetry_space_group_name_H-M 'C m m m'
_symmetry_Int_Tables_number 65
_symmetry_space_group_name_Hall '-C 2 2'
loop_
_atom_site_label
_atom_site_type_symbol
_atom_site_fract_x
_atom_site_fract_y
_atom_site_fract_z
Nb1 Nb 0.000 0.000 0.243
Ir1 Ir 0.000 0.500 0.500
Pt1 Pt 0.000 0.330 0.000

=====

# ZrTlCdAg | Alexandria | GGA-PBE | optimized geometry
# **Energy above the most stable polymorph in this dataset**: 119.2 meV/atom
# **Electronic total energy**: -3.580 eV per atom
# **ΔE_f**: 0.09 eV per atom
data_ZrTlCdAg
_cell_length_a 7.012
_cell_length_b 7.012
_cell_length_c 7.012
_cell_angle_alpha 90.00
_cell_angle_beta 90.00
_cell_angle_gamma 90.00
_symmetry_space_group_name_H-M 'F -4 3 m'
_symmetry_Int_Tables_number 216
_symmetry_space_group_name_Hall 'F -4 2 3'
loop_
_atom_site_label
_atom_site_type_symbol
_atom_site_fract_x
_atom_site_fract_y
_atom_site_fract_z
Zr1 Zr 0.000 0.000 0.000
Tl1 Tl 0.250 0.250 0.250
Cd1 Cd 0.000 0.000 0.500
Ag1 Ag 0.250 0.250 0.750

=====

# Mn2Fe2W | Alexandria | GGA-PBE | optimized geometry
# **Energy above the most stable polymorph in this dataset**: 0.0 meV/atom
# **Electronic total energy**: -9.487 eV per atom
# **ΔE_f**: 0.16 eV per atom
data_Mn2Fe2W
_cell_length_a 6.783
_cell_length_b 6.783
_cell_length_c 2.562
_cell_angle_alpha 90.00
_cell_angle_beta 90.00
_cell_angle_gamma 90.00
_symmetry_space_group_name_H-M 'P 4/m b m'
_symmetry_Int_Tables_number 127
_symmetry_space_group_name_Hall '-P 4 2ab'
loop_
_atom_site_label
_atom_site_type_symbol
_atom_site_fract_x
_atom_site_fract_y
_atom_site_fract_z
Mn1 Mn 0.170 0.330 0.000
Fe1 Fe 0.124 0.624 0.500
W1 W 0.000 0.000 0.500

=====

# Sr3Sn3Rh2 | Alexandria | GGA-PBE | optimized geometry
# **Electronic total energy**: -4.579 eV per atom
# **ΔE_f**: -0.61 eV per atom
data_Sr3Sn3Rh2
_cell_length_a 8.669
_cell_length_b 16.200
_cell_length_c 6.273
_cell_angle_alpha 90.00
_cell_angle_beta 90.00
_cell_angle_gamma 90.00
_symmetry_space_group_name_H-M 'P n m a'
_symmetry_Int_Tables_number 62
loop_
_symmetry_equiv_pos_as_xyz
'x,y,z'
'-x,-y,-z'
'-x+1/2,-y,z+1/2'
'x+1/2,y,-z+1/2'
'x+1/2,-y+1/2,-z+1/2'
'-x+1/2,y+1/2,z+1/2'
'-x,y+1/2,-z'
'x,-y+1/2,z'
loop_
_atom_site_label
_atom_site_type_symbol
_atom_site_fract_x
_atom_site_fract_y
_atom_site_fract_z
Sr1 Sr 0.039 0.110 0.115
Sr2 Sr 0.191 0.250 0.613
Sn1 Sn 0.156 0.750 0.590
Sn2 Sn 0.176 0.041 0.613
Rh1 Rh 0.113 0.599 0.386

=====

# Li12Sb5As3 | Alexandria | GGA-PBE | optimized geometry
# **Electronic total energy**: -2.985 eV per atom
data_Li12Sb5As3
_cell_length_a 15.347
_cell_length_b 15.347
_cell_length_c 15.347
_cell_angle_alpha 90.00
_cell_angle_beta 90.00
_cell_angle_gamma 90.00
_symmetry_space_group_name_H-M 'I a -3 d'
_symmetry_Int_Tables_number 230
_symmetry_space_group_name_Hall '-I 4bd 2c 3'
loop_
_atom_site_label
_atom_site_type_symbol
_atom_site_fract_x
_atom_site_fract_y
_atom_site_fract_z
Li1 Li 0.008 0.089 0.650
Sb1 Sb 0.000 0.000 0.000
Sb2 Sb 0.000 0.250 0.375
As1 As 0.000 0.250 0.125

=====

# AcPrErHg | Alexandria | GGA-PBE | optimized geometry
# **Electronic total energy**: -3.402 eV per atom
# **ΔE_f**: 0.04 eV per atom
data_AcPrErHg
_cell_length_a 7.980
_cell_length_b 7.980
_cell_length_c 7.980
_cell_angle_alpha 90.00
_cell_angle_beta 90.00
_cell_angle_gamma 90.00
_symmetry_space_group_name_H-M 'F -4 3 m'
_symmetry_Int_Tables_number 216
_symmetry_space_group_name_Hall 'F -4 2 3'
loop_
_atom_site_label
_atom_site_type_symbol
_atom_site_fract_x
_atom_site_fract_y
_atom_site_fract_z
Ac1 Ac 0.000 0.000 0.000
Pr1 Pr 0.250 0.250 0.250
Er1 Er 0.250 0.250 0.750
Hg1 Hg 0.000 0.000 0.500

=====

# Ho2IrO6 | Alexandria | GGA-PBE | optimized geometry
# **Electronic total energy**: -7.548 eV per atom
data_Ho2IrO6
_cell_length_a 5.394
_cell_length_b 5.751
_cell_length_c 8.961
_cell_angle_alpha 90.00
_cell_angle_beta 119.95
_cell_angle_gamma 90.00
_symmetry_space_group_name_H-M 'P 1 21/c 1'
_symmetry_Int_Tables_number 14
loop_
_symmetry_equiv_pos_as_xyz
'x,y,z'
'-x,-y,-z'
'-x,y+1/2,-z+1/2'
'x,-y+1/2,z+1/2'
loop_
_atom_site_label
_atom_site_type_symbol
_atom_site_fract_x
_atom_site_fract_y
_atom_site_fract_z
Ho1 Ho 0.193 0.087 0.236
Ir1 Ir 0.500 0.000 0.000
O1 O 0.152 0.174 0.947
O2 O 0.256 0.726 0.905
O3 O 0.439 0.079 0.774